First-principles (GGA-PBE) data for a relaxed structure of Ho3Tl2Pb, as listed in Alexandria via LeMat-Bulk.

Computed properties:
As for the space group: No. 123. The calculation puts the formation energy at -0.347 eV/atom. For the offset from the most stable computed form, the calculation gives 0.0092 eV/atom.

a = 3.557 Å, b = 3.557 Å, c = 12.919 Å
α = 90.00°, β = 90.00°, γ = 90.00°
Element x y z (fractional)
Ho (0.000, 0.000, 0.000)
Ho (0.000, 0.000, 0.329)
Ho (0.000, 0.000, 0.671)
Tl (0.500, 0.500, 0.165)
Tl (0.500, 0.500, 0.835)
Pb (0.500, 0.500, 0.500)

***

First-principles (GGA-PBE) data for a relaxed structure of HoTlPb, as listed in Alexandria via LeMat-Bulk.

Computed properties:
As for the space group: No. 62. The calculation puts the formation energy at -0.179 eV/atom. For the offset from the most stable computed form, the calculation gives 0.1102 eV/atom.

a = 17.466 Å, b = 5.414 Å, c = 3.675 Å
α = 90.00°, β = 90.00°, γ = 90.00°
Element x y z (fractional)
Ho (0.154, 0.250, 0.249)
Ho (0.346, 0.750, 0.749)
Ho (0.654, 0.250, 0.251)
Ho (0.846, 0.750, 0.751)
Tl (0.168, 0.750, 0.748)
Tl (0.332, 0.250, 0.248)
Tl (0.668, 0.750, 0.752)
Tl (0.832, 0.250, 0.252)
Pb (0.005, 0.750, 0.250)
Pb (0.495, 0.250, 0.750)
Pb (0.505, 0.750, 0.250)
Pb (0.995, 0.250, 0.750)

***

First-principles (GGA-PBE) data for a relaxed structure of HoTlPb2, as listed in Alexandria via LeMat-Bulk.

Computed properties:
As for the space group: No. 225. The calculation puts the formation energy at -0.051 eV/atom.

a = 7.835 Å, b = 7.835 Å, c = 7.835 Å
α = 90.00°, β = 90.00°, γ = 90.00°
Element x y z (fractional)
Ho (0.000, 0.000, 0.000)
Ho (0.000, 0.500, 0.500)
Ho (0.500, 0.000, 0.500)
Ho (0.500, 0.500, 0.000)
Tl (0.000, 0.000, 0.500)
Tl (0.000, 0.500, 0.000)
Tl (0.500, 0.000, 0.000)
Tl (0.500, 0.500, 0.500)
Pb (0.250, 0.250, 0.250)
Pb (0.250, 0.250, 0.750)
Pb (0.250, 0.750, 0.250)
Pb (0.250, 0.750, 0.750)
Pb (0.750, 0.250, 0.250)
Pb (0.750, 0.250, 0.750)
Pb (0.750, 0.750, 0.250)
Pb (0.750, 0.750, 0.750)

***

- What is the formation energy in the third record?
  -0.051 eV/atom

***

- Which formula does entry 3 have?
  HoTlPb2

***

- Which value of formation energy does entry 3 give?
  -0.051 eV/atom